InBiS2: relaxed, GGA-PBE.

a b c (Å): 17.0315 3.9051 6.6230
angles (deg): 90.00 96.24 90.00
Space group C2/m (No. 12)
Unique sites:
In: 0.0000 0.0000 0.0000 x2
In: 0.0000 0.5000 0.5000 x2
Bi: 0.2489 0.0000 0.6912 x4
S: 0.0837 0.5000 0.1926 x4
S: 0.0863 0.0000 0.6847 x4

Computed properties:
ΔE_f (raw) in eV per atom: -0.40
Fermi-level density of states in states/eV/f.u.: 0.4
V in Å³ per cell: 437.9
Crystal system: monoclinic

InBiS2: relaxed, GGA-PBE.

a b c (Å): 5.8599 5.8599 11.8686
angles (deg): 90.00 90.00 90.00
Space group I4_1/amd (No. 141, origin choice 2)
Unique sites:
In: 0.0000 0.2500 0.3750 x4
Bi: 0.0000 0.2500 0.8750 x4
S: 0.0000 0.2500 0.1158 x8

Computed properties:
ΔE_f (raw) in eV per atom: -0.28
Fermi-level density of states in states/eV/f.u.: 1.1
V in Å³ per cell: 407.6
Crystal system: tetragonal

In12Bi3S5: relaxed, GGA-PBE.

a b c (Å): 17.4176 17.4176 17.4176
angles (deg): 90.00 90.00 90.00
Space group Ia-3d (No. 230)
Unique sites:
In: 0.0212 0.0655 0.6528 x96
Bi: 0.0000 0.2500 0.1250 x24
S: 0.0000 0.0000 0.0000 x16
S: 0.0000 0.2500 0.3750 x24

Computed properties:
ΔE_f (raw) in eV per atom: -0.09
Fermi-level density of states in states/eV/f.u.: 8.8
V in Å³ per cell: 5284.0
Crystal system: cubic

InBi2S4: relaxed, GGA-PBE.

a b c (Å): 7.2653 12.4959 3.8522
angles (deg): 90.00 90.00 90.00
Space group Pbam (No. 55)
Unique sites:
In: 0.0000 0.0000 0.0000 x2
Bi: 0.1012 0.3411 0.5000 x4
S: 0.1262 0.7964 0.0000 x4
S: 0.2453 0.0404 0.5000 x4

Computed properties:
Energy above the most stable polymorph in this dataset in eV per atom: 0.0000
ΔE_f (raw) in eV per atom: -0.31
Fermi-level density of states in states/eV/f.u.: 2.8
V in Å³ per cell: 349.7
Crystal system: orthorhombic

In2BiS2: relaxed, GGA-PBE.

a b c (Å): 5.1187 5.1187 9.4720
angles (deg): 90.00 90.00 90.00
Space group I4/mmm (No. 139)
Unique sites:
In: 0.0000 0.0000 0.1490 x4
Bi: 0.0000 0.0000 0.5000 x2
S: 0.0000 0.5000 0.2500 x4

Computed properties:
Energy above the most stable polymorph in this dataset in eV per atom: 0.1188
ΔE_f (raw) in eV per atom: 0.01
Fermi-level density of states in states/eV/f.u.: 3.2
V in Å³ per cell: 248.2
Crystal system: tetragonal

InBiS2: relaxed, GGA-PBE.

a b c (Å): 4.1357 4.1357 5.8284
angles (deg): 90.00 90.00 90.00
Space group P4/mmm (No. 123)
Unique sites:
In: 0.0000 0.0000 0.0000 x1
Bi: 0.5000 0.5000 0.5000 x1
S: 0.0000 0.0000 0.5000 x1
S: 0.5000 0.5000 0.0000 x1

Computed properties:
ΔE_f (raw) in eV per atom: -0.26
Fermi-level density of states in states/eV/f.u.: 1.3
V in Å³ per cell: 99.7
Crystal system: tetragonal

InBiS2: relaxed, GGA-PBE.

a b c (Å): 14.6357 8.7086 14.3908
angles (deg): 90.00 111.13 90.00
Space group C2/c (No. 15)
Unique sites:
In: 0.1219 0.0033 0.1214 x8
In: 0.1252 0.2468 0.8715 x8
Bi: 0.1240 0.4982 0.6192 x8
Bi: 0.1252 0.2501 0.3695 x8
S: 0.0000 0.0261 0.2500 x4
S: 0.0000 0.4752 0.2500 x4
S: 0.0011 0.2818 0.0023 x8
S: 0.2412 0.2543 0.2559 x8
S: 0.2422 0.4889 0.5088 x8

Computed properties:
ΔE_f (raw) in eV per atom: -0.33
Fermi-level density of states in states/eV/f.u.: 0.0
V in Å³ per cell: 1710.9
Crystal system: monoclinic

InBiS2: relaxed, GGA-PBE.

a b c (Å): 8.3839 3.9935 13.6178
angles (deg): 90.00 90.00 90.00
Space group Pnma (No. 62)
Unique sites:
In: 0.1007 0.2500 0.0805 x4
Bi: 0.0150 0.7500 0.3638 x4
S: 0.1575 0.7500 0.7249 x4
S: 0.1823 0.2500 0.4882 x4

Computed properties:
ΔE_f (raw) in eV per atom: -0.30
Fermi-level density of states in states/eV/f.u.: 0.0
V in Å³ per cell: 455.9
Crystal system: orthorhombic